Entry 1:
ErTm2Cd, relaxed, DFT PBE; uncorrected energy = -3.433 eV/atom; space group = No. 166; crystal system = trigonal; E above lowest polymorph = 1.26 eV/f.u.
1.0
3.413 0.000 0.000
-1.706 2.955 0.000
0.000 0.000 35.389
Er Tm Cd
3 6 3
Direct
0.000 0.000 0.000
0.333 0.667 0.667
0.667 0.333 0.333
0.000 0.000 0.095
0.000 0.000 0.905
0.333 0.667 0.572
0.333 0.667 0.762
0.667 0.333 0.238
0.667 0.333 0.428
0.000 0.000 0.500
0.333 0.667 0.167
0.667 0.333 0.833

=====

Entry 2:
Er2TmCd2, relaxed, DFT PBE; uncorrected energy = -3.338 eV/atom; space group = No. 11; crystal system = monoclinic; E above lowest polymorph = 0.00 eV/f.u.
1.0
3.688 0.000 0.000
0.000 5.273 0.000
-1.854 0.000 13.592
Er Tm Cd
4 2 4
Direct
0.045 0.250 0.091
0.236 0.250 0.473
0.764 0.750 0.527
0.955 0.750 0.909
0.150 0.750 0.299
0.850 0.250 0.701
0.359 0.750 0.718
0.448 0.250 0.896
0.552 0.750 0.104
0.641 0.250 0.282

=====

In the order shown, the computed DOS(E_F) values come out to 6.352; 4.325 states/eV/f.u..
In the order shown, the computed formation energy values come out to 0.172; -0.252 eV/atom.